Record 1
Material: Mg2GeO
Method: DFT, GGA-PBEsol
State: optimized geometry

Output
D(E_F) in states/eV/f.u.: 1.51
Total DFT energy (no corrections) in eV per atom: -4.52

Geometry as extended XYZ:
```
8
Lattice="-1.9337 4.7765 2.5759 -2.1853 -5.0584 1.6812 5.4343 -1.6175 1.0204" Properties=species:S:1:pos:R:3 pbc="T T T"
Ge 0.0000 0.0000 0.0000
Ge -1.2472 -1.8099 2.8039
Mg -2.1584 1.4444 3.2769
Mg 2.6615 -1.6748 1.3251
Mg 0.6440 0.2389 2.7042
Mg 1.4837 -3.8073 3.2486
O 1.6245 -3.3380 1.3508
O 2.5626 -0.0895 2.4735
```

=====

Record 2
Material: Mg2GeO4
Method: DFT, GGA-PBEsol
State: optimized geometry

Output
D(E_F) in states/eV/f.u.: 0.00
Total DFT energy (no corrections) in eV per atom: -6.56
Energy above the most stable polymorph in this dataset in eV/atom: 0.012

Geometry as extended XYZ:
```
28
Lattice="-2.7859 2.5007 -3.2036 0.8009 -4.3591 -4.0992 -8.3956 -4.8488 3.5160" Properties=species:S:1:pos:R:3 pbc="T T T"
Mg 0.0000 0.0000 0.0000
Mg -5.5908 -1.1740 0.1562
Mg 0.4004 -2.1796 -2.0496
Mg -5.1903 -3.3536 -1.8934
Mg -7.7225 -3.5839 0.0796
Mg -5.4993 -6.7656 -0.5482
Mg -2.6582 -3.1233 -3.8663
Mg -4.8814 0.0584 -3.2386
Ge -1.8105 -0.4560 -2.0917
Ge -5.4131 -2.8926 -4.6500
Ge -8.5701 -6.2512 -1.6951
Ge -4.9676 -3.8146 0.8632
O -4.5307 -1.9791 -3.4112
O -1.7423 -2.2228 -2.2372
O -6.2170 -2.7300 1.5035
O -8.2713 -6.4826 -3.4285
O -5.8499 -4.7281 -0.3755
O -8.6384 -4.4844 -1.5496
O -4.1636 -3.9772 -5.2902
O -2.1094 -0.2247 -0.3582
O -8.4424 -4.9692 1.4121
O -6.2508 -4.0595 -3.5728
O -1.9383 -1.7380 -5.1989
O -4.1298 -2.6477 -0.2140
O -2.7735 0.4389 -3.2315
O -3.6316 -4.5223 -2.5688
O -7.6072 -7.1462 -0.5553
O -6.7491 -2.1849 -1.2179
```

=====

Record 3
Material: MgTiGe2O6
Method: DFT, GGA-PBEsol
State: optimized geometry

Output
D(E_F) in states/eV/f.u.: 0.00
Total DFT energy (no corrections) in eV per atom: -7.33

Geometry as extended XYZ:
```
40
Lattice="-1.7428 2.5898 -4.2919 -1.5560 -7.2960 -3.7707 -10.0939 -0.7544 5.6251" Properties=species:S:1:pos:R:3 pbc="T T T"
Mg -8.6012 -4.1561 1.4434
Mg -3.2903 0.3535 -0.2089
Mg -4.7914 -1.3046 -3.8809
Mg -10.1023 -5.8142 -2.2286
Ti -8.9470 -1.3821 0.0238
Ti -5.6042 -4.1303 -5.3032
Ti -4.4457 -4.0786 -2.4613
Ti -7.7884 -1.3304 2.8657
Ge -11.5154 -3.6365 -0.1915
Ge -2.4265 0.9809 -3.6114
Ge -1.8773 -1.8242 -2.2460
Ge -10.9661 -6.4416 1.1739
Ge -7.6204 -3.2362 -2.6228
Ge -6.3298 0.5417 -1.2002
Ge -5.7722 -2.2246 0.1853
Ge -7.0629 -6.0024 -1.2372
O -7.1872 -5.4767 0.4704
O -5.1988 -0.6449 -0.4343
O -6.2054 0.0160 -2.9079
O -8.1938 -4.8158 -2.0032
O -11.2730 -3.1369 -2.0197
O -2.7968 -0.1183 -2.0932
O -2.1196 -2.3238 -0.4178
O -10.5958 -5.3424 -0.3443
O -6.3353 -0.1872 2.2180
O -5.5353 -3.5177 -0.9329
O -7.0573 -5.2735 -4.6555
O -7.8573 -1.9430 -1.5046
O -9.7086 -7.8271 0.6720
O -3.5821 -2.5365 -2.8281
O -3.6840 2.3664 -3.1094
O -9.8105 -2.9242 0.3906
O -3.2173 -4.9379 -1.3829
O -9.0298 -0.5321 1.7558
O -10.1753 -0.5228 -1.0545
O -4.3628 -4.9286 -4.1933
O -6.0989 -3.1045 -3.4696
O -7.8452 0.4383 -0.3388
O -7.2937 -2.3563 1.0321
O -5.5474 -5.8990 -2.0986
```

=====

Record 4
Material: Y2Mg3Ge3O12
Method: DFT, GGA-PBEsol
State: optimized geometry

Output
D(E_F) in states/eV/f.u.: 0.00
Total DFT energy (no corrections) in eV per atom: -7.40

Geometry as extended XYZ:
```
80
Lattice="-6.8005 -7.5343 2.9050 9.6403 -2.1170 3.7464 -3.2504 9.2602 3.8905" Properties=species:S:1:pos:R:3 pbc="T T T"
Y -4.3400 -4.7513 3.1593
Y -3.5811 -0.7614 8.6247
Y 1.8115 3.6623 7.2742
Y -1.5122 -6.4663 4.9305
Y 1.4444 -1.6243 5.2270
Y -2.5649 3.6460 3.6520
Y -7.9575 -0.7777 5.0025
Y -1.3834 0.0907 3.4558
Mg -3.0730 1.4423 6.1384
Mg 5.1474 4.1510 6.5591
Mg 1.9524 0.5794 2.7406
Mg 3.3723 -4.2463 6.0663
Mg 6.7726 -0.4791 4.6138
Mg -1.4478 -3.1878 4.1931
Mg 0.3272 5.2095 4.6859
Mg 1.7471 0.3838 8.0115
Mg 2.1298 -7.2385 4.9885
Mg 3.1949 3.5716 3.8184
Mg -5.0254 0.8629 3.3977
Mg 0.7099 -2.4128 1.6628
Ge 0.0000 0.0000 0.0000
Ge -4.3155 -1.5499 5.0606
Ge -5.0517 4.0730 5.3334
Ge 3.9312 -2.0513 3.5456
Ge 0.2306 1.8949 5.3847
Ge 0.0688 -4.6989 6.8200
Ge 3.9049 1.1587 5.4813
Ge 1.4199 -4.8257 3.3257
Ge -1.0943 -1.1884 6.9434
Ge -0.0263 3.2101 1.9356
Ge -6.3766 0.9897 6.8921
Ge 6.6759 -3.7937 5.3126
O -1.9459 0.2914 7.3607
O -2.1098 -2.3476 7.7884
O 1.5330 2.5213 2.3640
O 3.1214 -6.0732 6.8961
O -3.6380 -6.8792 3.9757
O -4.6643 0.9404 7.3527
O 3.6093 5.1902 7.4606
O 5.2917 -4.8594 5.6204
O 3.6280 2.8548 5.9324
O 3.6291 1.3411 3.7356
O -2.7283 2.9402 7.5592
O 2.8704 -5.2098 4.2771
O -4.2001 2.5932 4.9160
O -4.0362 5.2321 4.4883
O 2.3719 -1.3626 3.1172
O 3.6233 -2.4194 5.2364
O 0.7424 0.5036 4.4106
O -1.4817 1.9442 4.9241
O 6.6855 3.1117 5.6576
O 1.4530 -3.6332 6.5122
O -2.9735 7.5641 3.4393
O 0.2758 -0.1824 1.7457
O -3.4177 -0.0556 4.7175
O -5.7660 -1.1658 4.1091
O 6.4410 -2.1107 5.7615
O -1.5425 -2.0327 2.5361
O -0.4543 7.0321 4.2908
O -6.6854 1.1545 5.1697
O -0.5317 4.6035 2.9101
O -1.4091 2.1409 2.2378
O -0.9169 -1.4668 5.2005
O 0.6166 -1.2343 7.4096
O 0.5940 -3.3106 3.7487
O -1.5573 4.7978 5.4986
O 5.4776 0.4785 5.9508
O 2.8848 -0.0394 6.3063
O 0.3036 -6.3819 6.3711
O -1.3531 -4.3429 5.8502
O 1.1088 3.3868 5.0810
O 0.5394 1.7300 7.1070
O 1.1862 5.8155 6.4617
O 5.3140 -0.9822 3.2434
O -1.9787 -4.9088 3.1857
O 2.8777 2.0018 8.6135
O -3.4896 -3.0650 4.6375
O -4.5887 -1.9132 6.7781
O 1.2671 -8.9711 6.1818
O 0.6094 0.8070 9.7168
```

=====

Record 5
Material: Mg2GeP2
Method: DFT, GGA-PBEsol
State: optimized geometry

Output
Energy relative to the elements in kJ/mol of atoms: -8
D(E_F) in states/eV/f.u.: 2.05
Total DFT energy (no corrections) in eV per atom: -4.08

Geometry as extended XYZ:
```
5
Lattice="4.5243 0.0000 0.0000 0.0000 4.5243 0.0000 -2.2621 -2.2621 4.6131" Properties=species:S:1:pos:R:3 pbc="T T T"
P 0.0000 0.0000 3.5385
P 2.2621 2.2621 1.0746
Ge 0.0000 0.0000 0.0000
Mg 0.0000 2.2621 2.3065
Mg 2.2621 0.0000 2.3065
```

=====

Record 6
Material: Mg3GeP
Method: DFT, GGA-PBEsol
State: optimized geometry

Output
Energy relative to the elements in kJ/mol of atoms: 22
D(E_F) in states/eV/f.u.: 4.33
Total DFT energy (no corrections) in eV per atom: -2.95

Geometry as extended XYZ:
```
5
Lattice="-0.6944 -4.4623 -1.8780 2.5855 1.2623 -3.9552 4.0932 -1.5543 2.1797" Properties=species:S:1:pos:R:3 pbc="T T T"
P 2.9922 -2.3772 -1.8268
Ge 0.0000 0.0000 0.0000
Mg 1.2927 0.6311 -1.9776
Mg 2.0466 -0.7771 1.0898
Mg -0.3472 -2.2312 -0.9390
```

=====

Record 7
Material: MgGe3Pd
Method: DFT, GGA-PBEsol
State: optimized geometry

Output
Energy relative to the elements in kJ/mol of atoms: 89
D(E_F) in states/eV/f.u.: 2.37
Total DFT energy (no corrections) in eV per atom: -3.58

Geometry as extended XYZ:
```
5
Lattice="4.8153 0.0000 0.0000 0.0000 4.8153 0.0000 0.0000 0.0000 4.8153" Properties=species:S:1:pos:R:3 pbc="T T T"
Ge 0.0000 2.4076 0.0000
Ge 0.0000 0.0000 2.4076
Ge 2.4076 0.0000 0.0000
Mg 0.0000 0.0000 0.0000
Pd 2.4076 2.4076 2.4076
```

=====

Record 8
Material: MgGePd2
Method: DFT, GGA-PBEsol
State: optimized geometry

Output
Energy relative to the elements in kJ/mol of atoms: -57
D(E_F) in states/eV/f.u.: 2.19
Total DFT energy (no corrections) in eV per atom: -5.24

Geometry as extended XYZ:
```
4
Lattice="4.3878 0.0000 0.0000 2.1939 3.7999 0.0000 2.1939 1.2666 3.5826" Properties=species:S:1:pos:R:3 pbc="T T T"
Ge 4.3878 2.5333 1.7913
Mg 0.0000 0.0000 0.0000
Pd 2.1939 1.2666 0.8956
Pd 6.5816 3.7999 2.6869
```

=====

Record 9
Material: Pm2MgGe
Method: DFT, GGA-PBEsol
State: optimized geometry

Output
Energy relative to the elements in kJ/mol of atoms: -39
D(E_F) in states/eV/f.u.: 2.38
Total DFT energy (no corrections) in eV per atom: -4.64

Geometry as extended XYZ:
```
4
Lattice="5.1820 0.0000 0.0000 2.5910 4.4878 0.0000 2.5910 1.4959 4.2311" Properties=species:S:1:pos:R:3 pbc="T T T"
Ge 5.1820 2.9918 2.1156
Mg 0.0000 0.0000 0.0000
Pm 2.5910 1.4959 1.0578
Pm 7.7730 4.4878 3.1733
```

=====

Record 10
Material: Pr4Mg7Ge6
Method: DFT, GGA-PBEsol
State: optimized geometry

Output
Energy relative to the elements in kJ/mol of atoms: -56
D(E_F) in states/eV/f.u.: 6.95
Total DFT energy (no corrections) in eV per atom: -4.25

Geometry as extended XYZ:
```
17
Lattice="-3.0238 -2.0357 2.4738 0.7521 -8.3089 -1.9955 6.0248 -3.6277 8.3017" Properties=species:S:1:pos:R:3 pbc="T T T"
Pr 0.2248 -4.1173 4.7318
Pr 3.5282 -9.8550 4.0482
Pr -0.4920 -6.6967 1.7330
Pr 4.2450 -7.2756 7.0469
Mg -1.3606 -10.2769 1.6478
Mg 5.1136 -3.6955 7.1322
Mg 0.1010 -9.4041 4.1525
Mg 3.6520 -4.5682 4.6275
Mg 0.1588 -3.0662 1.5936
Mg 3.5942 -10.9061 7.1864
Mg 1.8765 -6.9862 4.3900
Ge 1.7079 -9.0428 6.4141
Ge 2.0451 -4.9295 2.3659
Ge -2.2173 -4.1151 1.7485
Ge 5.9703 -9.8572 7.0315
Ge 1.3759 -9.4660 1.7374
Ge 2.3771 -4.5063 7.0425
```

=====

Record 11
Material: Pr2MgGe2
Method: DFT, GGA-PBEsol
State: optimized geometry

Output
Energy relative to the elements in kJ/mol of atoms: -77
D(E_F) in states/eV/f.u.: 1.99
Total DFT energy (no corrections) in eV per atom: -5.19

Geometry as extended XYZ:
```
10
Lattice="4.3617 0.0000 0.0000 0.0000 7.4435 0.0000 0.0000 0.0000 7.4435" Properties=species:S:1:pos:R:3 pbc="T T T"
Pr 2.1808 2.3910 6.1128
Pr 2.1808 6.1128 5.0525
Pr 2.1808 1.3307 2.3910
Pr 2.1808 5.0525 1.3307
Mg 0.0000 3.7218 3.7218
Mg 0.0000 0.0000 0.0000
Ge 0.0000 0.8944 4.6162
Ge 0.0000 4.6162 6.5491
Ge 0.0000 6.5491 2.8273
Ge 0.0000 2.8273 0.8944
```

=====

Record 12
Material: Pr6MgGe2S14
Method: DFT, GGA-PBEsol
State: optimized geometry

Output
D(E_F) in states/eV/f.u.: 0.00
Total DFT energy (no corrections) in eV per atom: -6.16

Geometry as extended XYZ:
```
23
Lattice="-4.4239 1.0805 -3.4480 -5.8601 -6.1676 5.5860 0.6209 9.8939 2.3038" Properties=species:S:1:pos:R:3 pbc="T T T"
Pr -7.7841 -2.6713 1.9685
Pr -8.0783 1.7878 3.7433
Pr -5.3094 0.9024 -0.0867
Pr -1.9183 7.4875 2.4324
Pr -1.6330 3.0237 0.6675
Pr -4.3983 3.9227 4.4972
Mg -2.2866 0.5585 -1.7822
Ge -4.4876 -0.6213 3.8778
Ge -4.4965 5.2623 1.0931
S -3.7071 2.7424 -1.5551
S -7.2354 4.4782 3.5159
S -3.7331 8.8561 0.3941
S -6.0997 2.1159 5.8585
S -2.5892 0.3432 0.7989
S -6.1000 -3.9992 3.9426
S -6.1725 -0.2098 2.5647
S -1.7617 4.5944 3.2246
S -3.2357 1.1770 4.3038
S -3.0737 -2.1409 3.0563
S -5.0936 -1.4033 5.8789
S -4.3928 3.1286 1.7315
S -4.5493 6.4565 2.9752
S -2.5276 5.7085 0.1469
```